Entry 1:
## TlSb2Ir (SCAN)

Data for TlSb2Ir at its PBEsol-relaxed geometry.

CIF file:
```
data_TlSb2Ir
_space_group_name_H-M_alt 'P 1'
_space_group_IT_number 1
_space_group_name_Hall 'P 1'
_cell_length_a 3.110
_cell_length_b 3.454
_cell_length_c 9.461
_cell_angle_alpha 100.52
_cell_angle_beta 99.46
_cell_angle_gamma 90.00
loop_
_atom_site_label
_atom_site_fract_x
_atom_site_fract_y
_atom_site_fract_z
_atom_site_occupancy
Ir1 0.198 0.698 0.397 1
Sb1 0.088 0.088 0.176 1
Tl1 0.439 0.439 0.878 1
Sb2 0.775 0.275 0.549 1
```

Results
energy above the lowest structure with this stoichiometry	0	meV per atom
total magnetization	0.00	μB per formula unit

***

Entry 2:
## CaTi4O8 (SCAN)

Data for CaTi4O8 at its PBEsol-relaxed geometry.

CIF file:
```
data_CaTi4O8
_space_group_name_H-M_alt 'P 1'
_space_group_IT_number 1
_space_group_name_Hall 'P 1'
_cell_length_a 5.851
_cell_length_b 5.851
_cell_length_c 6.547
_cell_angle_alpha 63.46
_cell_angle_beta 63.46
_cell_angle_gamma 60.00
loop_
_atom_site_label
_atom_site_fract_x
_atom_site_fract_y
_atom_site_fract_z
_atom_site_occupancy
O1 0.274 0.274 0.178 1
Ti1 0.500 0.000 0.000 1
Ti2 0.000 0.500 0.000 1
O2 0.235 0.235 0.805 1
Ti3 0.000 0.000 0.000 1
O3 0.725 0.235 0.805 1
Ti4 0.500 0.500 0.000 1
O4 0.726 0.726 0.822 1
O5 0.765 0.765 0.195 1
O6 0.275 0.765 0.195 1
O7 0.235 0.725 0.805 1
Ca1 0.500 0.500 0.500 1
O8 0.765 0.275 0.195 1
```

Results
energy above the lowest structure with this stoichiometry	0	meV per atom
total magnetization	1.26	μB per formula unit

***

Entry 3:
## Sc2BeP (SCAN)

Data for Sc2BeP at its PBEsol-relaxed geometry.

CIF file:
```
data_Sc2BeP
_space_group_name_H-M_alt 'P 1'
_space_group_IT_number 1
_space_group_name_Hall 'P 1'
_cell_length_a 3.512
_cell_length_b 3.781
_cell_length_c 5.152
_cell_angle_alpha 111.53
_cell_angle_beta 90.00
_cell_angle_gamma 90.00
loop_
_atom_site_label
_atom_site_fract_x
_atom_site_fract_y
_atom_site_fract_z
_atom_site_occupancy
P1 0.500 0.558 0.117 1
Sc1 0.500 0.270 0.540 1
Sc2 0.000 0.983 0.965 1
Be1 0.000 0.695 0.390 1
```

Results
energy above the lowest structure with this stoichiometry	0	meV per atom
total magnetization	0.01	μB per formula unit

***

Entry 4:
## KSi4Pb (SCAN)

Data for KSi4Pb at its PBEsol-relaxed geometry.

CIF file:
```
data_KSi4Pb
_space_group_name_H-M_alt 'P 1'
_space_group_IT_number 1
_space_group_name_Hall 'P 1'
_cell_length_a 5.473
_cell_length_b 5.473
_cell_length_c 5.473
_cell_angle_alpha 60.00
_cell_angle_beta 60.00
_cell_angle_gamma 60.00
loop_
_atom_site_label
_atom_site_fract_x
_atom_site_fract_y
_atom_site_fract_z
_atom_site_occupancy
Pb1 0.000 0.000 0.000 1
Si1 0.378 0.378 0.378 1
Si2 0.378 0.865 0.378 1
Si3 0.378 0.378 0.865 1
Si4 0.865 0.378 0.378 1
K1 0.750 0.750 0.750 1
```

Results
total magnetization	0.00	μB per formula unit
raw total energy	-20.19	eV per atom

***

Entry 5:
## LiHIr3 (SCAN)

Data for LiHIr3 at its PBEsol-relaxed geometry.

CIF file:
```
data_LiHIr3
_space_group_name_H-M_alt 'P 1'
_space_group_IT_number 1
_space_group_name_Hall 'P 1'
_cell_length_a 3.848
_cell_length_b 3.848
_cell_length_c 3.848
_cell_angle_alpha 90.00
_cell_angle_beta 90.00
_cell_angle_gamma 90.00
loop_
_atom_site_label
_atom_site_fract_x
_atom_site_fract_y
_atom_site_fract_z
_atom_site_occupancy
H1 0.000 0.000 0.000 1
Ir1 0.000 0.500 0.000 1
Ir2 0.000 0.000 0.500 1
Li1 0.500 0.500 0.500 1
Ir3 0.500 0.000 0.000 1
```

Results
total magnetization	0.00	μB per formula unit
raw total energy	-43.70	eV per atom

***

Entry 6:
## Y2HgRh (SCAN)

Data for Y2HgRh at its PBEsol-relaxed geometry.

CIF file:
```
data_Y2HgRh
_space_group_name_H-M_alt 'P 1'
_space_group_IT_number 1
_space_group_name_Hall 'P 1'
_cell_length_a 3.734
_cell_length_b 4.517
_cell_length_c 5.678
_cell_angle_alpha 90.00
_cell_angle_beta 109.24
_cell_angle_gamma 90.00
loop_
_atom_site_label
_atom_site_fract_x
_atom_site_fract_y
_atom_site_fract_z
_atom_site_occupancy
Hg1 0.295 0.000 0.464 1
Y1 0.727 0.500 0.329 1
Y2 0.015 0.000 0.904 1
Rh1 0.464 0.500 0.803 1
```

Results
total magnetization	0.00	μB per formula unit
raw total energy	-40.20	eV per atom

***

Entry 7:
## BaGd2Se4 (SCAN)

Data for BaGd2Se4 at its PBEsol-relaxed geometry.

CIF file:
```
data_BaGd2Se4
_space_group_name_H-M_alt 'P 1'
_space_group_IT_number 1
_space_group_name_Hall 'P 1'
_cell_length_a 4.204
_cell_length_b 12.586
_cell_length_c 15.098
_cell_angle_alpha 90.00
_cell_angle_beta 90.00
_cell_angle_gamma 90.00
loop_
_atom_site_label
_atom_site_fract_x
_atom_site_fract_y
_atom_site_fract_z
_atom_site_occupancy
Gd1 0.750 0.577 0.899 1
Se1 0.250 0.419 0.420 1
Ba1 0.750 0.244 0.337 1
Gd2 0.250 0.923 0.399 1
Se2 0.250 0.919 0.080 1
Se3 0.750 0.981 0.282 1
Gd3 0.750 0.077 0.601 1
Se4 0.750 0.290 0.669 1
Se5 0.750 0.369 0.977 1
Gd4 0.750 0.072 0.107 1
Se6 0.750 0.869 0.523 1
Gd5 0.250 0.928 0.893 1
Se7 0.250 0.210 0.169 1
Gd6 0.250 0.423 0.101 1
Se8 0.750 0.481 0.218 1
Se9 0.750 0.581 0.580 1
Se10 0.250 0.631 0.023 1
Se11 0.750 0.790 0.831 1
Ba2 0.750 0.744 0.163 1
Se12 0.250 0.019 0.718 1
Se13 0.250 0.131 0.477 1
Ba3 0.250 0.256 0.837 1
Gd7 0.250 0.428 0.607 1
Se14 0.750 0.081 0.920 1
Ba4 0.250 0.756 0.663 1
Se15 0.250 0.519 0.782 1
Se16 0.250 0.710 0.331 1
Gd8 0.750 0.572 0.393 1
```

Results
total magnetization	0.01	μB per formula unit
raw total energy	-36.13	eV per atom

***

Entry 8:
## Zr2HgAsN (SCAN)

Data for Zr2HgAsN at its PBEsol-relaxed geometry.

CIF file:
```
data_Zr2HgAsN
_space_group_name_H-M_alt 'P 1'
_space_group_IT_number 1
_space_group_name_Hall 'P 1'
_cell_length_a 4.426
_cell_length_b 4.426
_cell_length_c 4.457
_cell_angle_alpha 90.00
_cell_angle_beta 90.00
_cell_angle_gamma 90.00
loop_
_atom_site_label
_atom_site_fract_x
_atom_site_fract_y
_atom_site_fract_z
_atom_site_occupancy
N1 0.000 0.000 0.000 1
Hg1 0.500 0.500 0.500 1
Zr1 0.000 0.500 0.000 1
As1 0.000 0.000 0.500 1
Zr2 0.500 0.000 0.000 1
```

Results
total magnetization	0.00	μB per formula unit
raw total energy	-32.32	eV per atom